The following is a PBE calculation of crystalline Li2CoOs at its relaxed geometry, from Alexandria.

## Properties
**Energy above the most stable polymorph in this dataset**: 0.5632 eV per atom
**DFT formation energy**: 0.6903 eV/atom
**Fermi-level density of states**: 6.3 states/eV/f.u.
**Raw total energy**: -4.851 eV/atom

CIF file:
```
data_Li2CoOs
_symmetry_space_group_name_H-M 'F m -3 m'
_symmetry_Int_Tables_number 225
_symmetry_space_group_name_Hall '-F 4 2 3'
_cell_length_a 5.736
_cell_length_b 5.736
_cell_length_c 5.736
_cell_angle_alpha 90.00
_cell_angle_beta 90.00
_cell_angle_gamma 90.00
loop_
_atom_site_label
_atom_site_type_symbol
_atom_site_fract_x
_atom_site_fract_y
_atom_site_fract_z
_atom_site_occupancy
Li1 Li 0.250 0.250 0.250 1
Co1 Co 0.000 0.000 0.000 1
Os1 Os 0.000 0.000 0.500 1
```


The following is a PBE calculation of crystalline Ce4CoPb at its relaxed geometry, from Alexandria.

## Properties
**Energy above the most stable polymorph in this dataset**: 0.2833 eV per atom
**DFT formation energy**: 0.0626 eV/atom
**Fermi-level density of states**: 13.3 states/eV/f.u.
**Raw total energy**: -5.696 eV/atom

CIF file:
```
data_Ce4CoPb
_symmetry_space_group_name_H-M 'F d d d'
_symmetry_Int_Tables_number 70
_cell_length_a 6.276
_cell_length_b 10.786
_cell_length_c 16.993
_cell_angle_alpha 90.00
_cell_angle_beta 90.00
_cell_angle_gamma 90.00
loop_
_symmetry_equiv_pos_as_xyz
'x,y,z'
'-x,-y,-z'
'-x+1/4,-y+1/4,z'
'x+1/4,y+1/4,-z'
'x,-y+1/4,-z+1/4'
'-x,y+1/4,z+1/4'
'-x+1/4,y,-z+1/4'
'x+1/4,-y,z+1/4'
'x,y+1/2,z+1/2'
'-x,-y+1/2,-z+1/2'
'-x+1/4,-y+3/4,z+1/2'
'x+1/4,y+3/4,-z+1/2'
'x,-y+3/4,-z+3/4'
'-x,y+3/4,z+3/4'
'-x+1/4,y+1/2,-z+3/4'
'x+1/4,-y+1/2,z+3/4'
'x+1/2,y,z+1/2'
'-x+1/2,-y,-z+1/2'
'-x+3/4,-y+1/4,z+1/2'
'x+3/4,y+1/4,-z+1/2'
'x+1/2,-y+1/4,-z+3/4'
'-x+1/2,y+1/4,z+3/4'
'-x+3/4,y,-z+3/4'
'x+3/4,-y,z+3/4'
'x+1/2,y+1/2,z'
'-x+1/2,-y+1/2,-z'
'-x+3/4,-y+3/4,z'
'x+3/4,y+3/4,-z'
'x+1/2,-y+3/4,-z+1/4'
'-x+1/2,y+3/4,z+1/4'
'-x+3/4,y+1/2,-z+1/4'
'x+3/4,-y+1/2,z+1/4'
loop_
_atom_site_label
_atom_site_type_symbol
_atom_site_fract_x
_atom_site_fract_y
_atom_site_fract_z
_atom_site_occupancy
Ce1 Ce 0.095 0.349 0.208 1
Co1 Co 0.125 0.125 0.125 1
Pb1 Pb 0.125 0.125 0.625 1
```